1.
# Al2TcH5 PBE-GGA optimized geometry
data_Al2TcH5
_chemical_formula_sum 'Al4 Tc2 H10'
_cell_length_a 5.628
_cell_length_b 7.081
_cell_length_c 4.512
_cell_angle_alpha 90.00
_cell_angle_beta 128.52
_cell_angle_gamma 90.00
_symmetry_space_group_name_H-M 'C 1 m 1'
_symmetry_Int_Tables_number 8
loop_
_symmetry_equiv_pos_as_xyz
'x,y,z'
'x,-y,z'
'x+1/2,y+1/2,z'
'x+1/2,-y+1/2,z'
loop_
_atom_site_label
_atom_site_type_symbol
_atom_site_fract_x
_atom_site_fract_y
_atom_site_fract_z
Al1 Al 0.000 0.250 0.000
Tc1 Tc 0.406 0.000 0.313
H1 H 0.095 0.335 0.690
H2 H 0.097 0.000 0.317
H3 H 0.169 0.000 0.842
H4 H 0.217 0.500 0.313
# calculated total energy = -4.4029 eV per atom
# density = 3.71 g/cm³

=====

2.
# AlTc3H PBE-GGA optimized geometry
data_AlTc3H
_chemical_formula_sum 'Al1 Tc3 H1'
_cell_length_a 3.931
_cell_length_b 3.931
_cell_length_c 3.931
_cell_angle_alpha 90.00
_cell_angle_beta 90.00
_cell_angle_gamma 90.00
_symmetry_space_group_name_H-M 'P m -3 m'
_symmetry_Int_Tables_number 221
_symmetry_space_group_name_Hall '-P 4 2 3'
loop_
_atom_site_label
_atom_site_type_symbol
_atom_site_fract_x
_atom_site_fract_y
_atom_site_fract_z
Al1 Al 0.000 0.000 0.000
Tc1 Tc 0.000 0.500 0.500
H1 H 0.500 0.500 0.500
# energy above the lowest structure with this stoichiometry = 0 meV per atom
# calculated total energy = -7.6027 eV per atom
# density = 8.80 g/cm³

=====

3.
# AlTcH PBE-GGA optimized geometry
data_AlTcH
_chemical_formula_sum 'Al1 Tc1 H1'
_cell_length_a 3.1542
_cell_length_b 3.1542
_cell_length_c 3.7925
_cell_angle_alpha 90.00
_cell_angle_beta 90.00
_cell_angle_gamma 120.00
_symmetry_space_group_name_H-M 'P -6 m 2'
_symmetry_Int_Tables_number 187
_symmetry_space_group_name_Hall 'P -6 2'
loop_
_atom_site_label
_atom_site_type_symbol
_atom_site_fract_x
_atom_site_fract_y
_atom_site_fract_z
Al1 Al 0.0000 0.0000 0.0000
Tc1 Tc 0.3333 0.6667 0.5000
H1 H 0.6667 0.3333 0.5000
# energy above the lowest structure with this stoichiometry = 0 meV per atom
# calculated total energy = -5.9958 eV per atom
# density = 6.40 g/cm³

=====

4.
# Al2TcH8 PBE-GGA optimized geometry
data_Al2TcH8
_chemical_formula_sum 'Al2 Tc1 H8'
_cell_length_a 3.076
_cell_length_b 4.898
_cell_length_c 6.024
_cell_angle_alpha 79.82
_cell_angle_beta 89.95
_cell_angle_gamma 89.77
_symmetry_space_group_name_H-M 'P -1'
_symmetry_Int_Tables_number 2
loop_
_symmetry_equiv_pos_as_xyz
'x,y,z'
'-x,-y,-z'
loop_
_atom_site_label
_atom_site_type_symbol
_atom_site_fract_x
_atom_site_fract_y
_atom_site_fract_z
Al1 Al 0.002 0.322 0.293
Tc1 Tc 0.000 0.000 0.000
H1 H 0.001 0.962 0.301
H2 H 0.003 0.652 0.139
H3 H 0.498 0.659 0.578
H4 H 0.499 0.178 0.059
# calculated total energy = -3.9553 eV per atom
# density = 2.97 g/cm³

=====

5.
# Al2TcH PBE-GGA optimized geometry
data_Al2TcH
_chemical_formula_sum 'Al8 Tc4 H4'
_cell_length_a 5.929
_cell_length_b 5.929
_cell_length_c 5.929
_cell_angle_alpha 90.00
_cell_angle_beta 90.00
_cell_angle_gamma 90.00
_symmetry_space_group_name_H-M 'F m -3 m'
_symmetry_Int_Tables_number 225
_symmetry_space_group_name_Hall '-F 4 2 3'
loop_
_atom_site_label
_atom_site_type_symbol
_atom_site_fract_x
_atom_site_fract_y
_atom_site_fract_z
Al1 Al 0.250 0.250 0.250
Tc1 Tc 0.000 0.000 0.000
H1 H 0.000 0.000 0.500
# energy above the lowest structure with this stoichiometry = 541 meV per atom
# calculated total energy = -4.8250 eV per atom
# density = 4.87 g/cm³

=====

6.
# Al2TcH PBE-GGA optimized geometry
data_Al2TcH
_chemical_formula_sum 'Al6 Tc3 H3'
_cell_length_a 2.9685
_cell_length_b 2.9685
_cell_length_c 21.7906
_cell_angle_alpha 90.00
_cell_angle_beta 90.00
_cell_angle_gamma 120.00
_symmetry_space_group_name_H-M 'R -3 m'
_symmetry_Int_Tables_number 166
_symmetry_space_group_name_Hall '-R 3 2"'
loop_
_atom_site_label
_atom_site_type_symbol
_atom_site_fract_x
_atom_site_fract_y
_atom_site_fract_z
Al1 Al 0.0000 0.0000 0.0798
Tc1 Tc 0.0000 0.0000 0.5000
H1 H 0.0000 0.0000 0.0000
# energy above the lowest structure with this stoichiometry = 0 meV per atom
# calculated total energy = -5.3656 eV per atom
# density = 4.58 g/cm³

=====

7.
# ThAlTc2H6 PBE-GGA optimized geometry
data_ThAlTc2H6
_chemical_formula_sum 'Th3 Al3 Tc6 H18'
_cell_length_a 4.4729
_cell_length_b 4.4729
_cell_length_c 16.4235
_cell_angle_alpha 90.00
_cell_angle_beta 90.00
_cell_angle_gamma 120.00
_symmetry_space_group_name_H-M 'R -3 m'
_symmetry_Int_Tables_number 166
_symmetry_space_group_name_Hall '-R 3 2"'
loop_
_atom_site_label
_atom_site_type_symbol
_atom_site_fract_x
_atom_site_fract_y
_atom_site_fract_z
Th1 Th 0.0000 0.0000 0.0000
Al1 Al 0.0000 0.0000 0.5000
Tc1 Tc 0.0000 0.0000 0.1982
H1 H 0.0068 0.5034 0.9384
# calculated total energy = -5.5026 eV per atom
# density = 8.07 g/cm³

=====

8.
# AlVTc2H PBE-GGA optimized geometry
data_AlVTc2H
_chemical_formula_sum 'Al1 V1 Tc2 H1'
_cell_length_a 4.172
_cell_length_b 4.172
_cell_length_c 3.380
_cell_angle_alpha 90.00
_cell_angle_beta 90.00
_cell_angle_gamma 90.00
_symmetry_space_group_name_H-M 'P 4/m m m'
_symmetry_Int_Tables_number 123
_symmetry_space_group_name_Hall '-P 4 2'
loop_
_atom_site_label
_atom_site_type_symbol
_atom_site_fract_x
_atom_site_fract_y
_atom_site_fract_z
Al1 Al 0.000 0.000 0.000
V1 V 0.500 0.500 0.000
Tc1 Tc 0.000 0.500 0.500
H1 H 0.500 0.500 0.500
# calculated total energy = -7.5542 eV per atom
# density = 7.76 g/cm³

=====

9.
# Al2ZnTcH PBE-GGA optimized geometry
data_Al2ZnTcH
_chemical_formula_sum 'Al2 Zn1 Tc1 H1'
_cell_length_a 4.169
_cell_length_b 4.169
_cell_length_c 3.519
_cell_angle_alpha 90.00
_cell_angle_beta 90.00
_cell_angle_gamma 90.00
_symmetry_space_group_name_H-M 'P 4/m m m'
_symmetry_Int_Tables_number 123
_symmetry_space_group_name_Hall '-P 4 2'
loop_
_atom_site_label
_atom_site_type_symbol
_atom_site_fract_x
_atom_site_fract_y
_atom_site_fract_z
Al1 Al 0.000 0.500 0.000
Zn1 Zn 0.000 0.000 0.500
Tc1 Tc 0.500 0.500 0.500
H1 H 0.500 0.500 0.000
# calculated total energy = -4.4945 eV per atom
# density = 5.93 g/cm³

=====

10.
# Zr2AlTcH PBE-GGA optimized geometry
data_Zr2AlTcH
_chemical_formula_sum 'Zr2 Al1 Tc1 H1'
_cell_length_a 4.494
_cell_length_b 4.494
_cell_length_c 3.753
_cell_angle_alpha 90.00
_cell_angle_beta 90.00
_cell_angle_gamma 90.00
_symmetry_space_group_name_H-M 'P 4/m m m'
_symmetry_Int_Tables_number 123
_symmetry_space_group_name_Hall '-P 4 2'
loop_
_atom_site_label
_atom_site_type_symbol
_atom_site_fract_x
_atom_site_fract_y
_atom_site_fract_z
Zr1 Zr 0.000 0.500 0.000
Al1 Al 0.000 0.000 0.500
Tc1 Tc 0.500 0.500 0.500
H1 H 0.000 0.000 0.000
# energy above the lowest structure with this stoichiometry = 134 meV per atom
# calculated total energy = -7.1545 eV per atom
# density = 6.76 g/cm³

=====

11.
# Zr2AlTcH PBE-GGA optimized geometry
data_Zr2AlTcH
_chemical_formula_sum 'Zr2 Al1 Tc1 H1'
_cell_length_a 4.540
_cell_length_b 4.540
_cell_length_c 3.727
_cell_angle_alpha 90.00
_cell_angle_beta 90.00
_cell_angle_gamma 90.00
_symmetry_space_group_name_H-M 'P 4/m m m'
_symmetry_Int_Tables_number 123
_symmetry_space_group_name_Hall '-P 4 2'
loop_
_atom_site_label
_atom_site_type_symbol
_atom_site_fract_x
_atom_site_fract_y
_atom_site_fract_z
Zr1 Zr 0.000 0.500 0.000
Al1 Al 0.000 0.000 0.500
Tc1 Tc 0.500 0.500 0.500
H1 H 0.500 0.500 0.000
# energy above the lowest structure with this stoichiometry = 0 meV per atom
# calculated total energy = -7.2880 eV per atom
# density = 6.67 g/cm³

=====

12.
# ZrAlTc2H PBE-GGA optimized geometry
data_ZrAlTc2H
_chemical_formula_sum 'Zr1 Al1 Tc2 H1'
_cell_length_a 4.103
_cell_length_b 4.103
_cell_length_c 4.021
_cell_angle_alpha 90.00
_cell_angle_beta 90.00
_cell_angle_gamma 90.00
_symmetry_space_group_name_H-M 'P 4/m m m'
_symmetry_Int_Tables_number 123
_symmetry_space_group_name_Hall '-P 4 2'
loop_
_atom_site_label
_atom_site_type_symbol
_atom_site_fract_x
_atom_site_fract_y
_atom_site_fract_z
Zr1 Zr 0.000 0.000 0.000
Al1 Al 0.500 0.500 0.000
Tc1 Tc 0.000 0.500 0.500
H1 H 0.000 0.000 0.500
# calculated total energy = -7.4701 eV per atom
# density = 7.73 g/cm³